Material: Pu2ScCu2Ge2
Method: DFT, GGA-PBE
State: relaxed

Cell: 4.0047 4.0047 25.4403 Å, 90.00 90.00 120.00°
Space group R-3m (No. 166, hexagonal axes)
One atom of each set of equivalent atoms:
Pu1 0.0000 0.0000 0.1491 [6 per cell]
Sc1 0.0000 0.0000 0.0000 [3 per cell]
Cu1 0.0000 0.0000 0.4040 [6 per cell]
Ge1 0.0000 0.0000 0.2649 [6 per cell]

Values from the calculation:
E_form   -0.249 eV per atom
Electronic total energy   -162.49 eV for the cell shown

---

Material: Pr5Dy8In
Method: DFT, GGA-PBE
State: relaxed

Cell: 12.7545 11.1305 9.0503 Å, 90.00 133.61 90.00°
Space group C2 (No. 5)
One atom of each set of equivalent atoms:
Pr1 0.0000 0.0000 0.0000 [2 per cell]
Pr2 0.1662 0.4975 0.3692 [4 per cell]
Pr3 0.2144 0.6927 0.1383 [4 per cell]
Dy1 0.0649 0.7765 0.3556 [4 per cell]
Dy2 0.0660 0.2197 0.3443 [4 per cell]
Dy3 0.1533 0.5033 0.7536 [4 per cell]
Dy4 0.2093 0.3101 0.1321 [4 per cell]
In1 0.0000 0.9992 0.5000 [2 per cell]

Values from the calculation:
E_form   0.084 eV per atom
Electronic total energy   -124.55 eV for the cell shown

---

Material: Tm4Ag3Pd
Method: DFT, GGA-PBE
State: relaxed

Cell: 3.5431 3.5431 14.3006 Å, 90.00 90.00 90.00°
Space group P4/mmm (No. 123)
One atom of each set of equivalent atoms:
Tm1 0.0000 0.0000 0.1170 [2 per cell]
Tm2 0.0000 0.0000 0.3723 [2 per cell]
Ag1 0.5000 0.5000 0.2459 [2 per cell]
Ag2 0.5000 0.5000 0.5000 [1 per cell]
Pd1 0.5000 0.5000 0.0000 [1 per cell]

Values from the calculation:
E_form   -0.498 eV per atom
Electronic total energy   -35.62 eV for the cell shown

---

Number 1: magnetic moment 0.000 μB/f.u.. Number 2: magnetic moment 0.000 μB/f.u.. Number 3: magnetic moment 0.000 μB/f.u..